A geometry-optimized Pm3Ge2AsRh9 structure. Source: the Alexandria database, functional PBE-GGA.

Its formation energy from the elements is -6.5 eV per formula unit. The total energy comes out at -6.7192 eV/atom. The total magnetization is 0.00 μB/f.u. The space group is P-3m1, No. 164.

POSCAR file:
```
Pm3Ge2AsRh9
1.0
6.3658 0.0000 0.0000
-3.1829 5.5129 0.0000
0.0000 0.0000 8.6101
Pm Ge As Rh
3 2 1 9
Direct
0.0000 0.0000 0.0000
0.3333 0.6667 0.7129
0.6667 0.3333 0.2871
0.3333 0.6667 0.1793
0.6667 0.3333 0.8207
0.0000 0.0000 0.5000
0.0000 0.5000 0.0000
0.1422 0.2844 0.2874
0.1422 0.8578 0.2874
0.2844 0.1422 0.7126
0.5000 0.0000 0.0000
0.5000 0.5000 0.0000
0.7156 0.8578 0.2874
0.8578 0.1422 0.7126
0.8578 0.7156 0.7126
```



A geometry-optimized PmGeAsRh3 structure. Source: the Alexandria database, functional PBE-GGA.

Its formation energy from the elements is -4.0 eV per formula unit. The total energy comes out at -6.6714 eV/atom. The total magnetization is 0.00 μB/f.u. The space group is Cmcm, No. 63.

POSCAR file:
```
PmGeAsRh3
1.0
2.8321 -7.6276 0.0000
2.8321 7.6276 0.0000
0.0000 0.0000 5.6641
Pm Ge As Rh
2 2 2 6
Direct
0.1986 0.8014 0.7500
0.8014 0.1986 0.2500
0.4062 0.5938 0.2500
0.5938 0.4062 0.7500
0.0897 0.9103 0.2500
0.9103 0.0897 0.7500
0.2472 0.7528 0.2500
0.2496 0.2496 0.0000
0.2496 0.2496 0.5000
0.7504 0.7504 0.0000
0.7504 0.7504 0.5000
0.7528 0.2472 0.7500
```



A geometry-optimized Pm4GeAsS2 structure. Source: the Alexandria database, functional PBE-GGA.

As for the uncorrected formation energy: -1.6505 eV per atom. The total energy comes out at -6.2160 eV/atom. The total magnetization is 0.00 μB/f.u. The space group is P2/m, No. 10.

POSCAR file:
```
Pm4GeAsS2
1.0
7.1717 0.0000 0.0000
0.0000 4.1679 0.0000
-2.4156 0.0000 6.8025
Pm Ge As S
4 1 1 2
Direct
0.2503 0.0000 0.2483
0.2497 0.5000 0.7512
0.7497 0.0000 0.7517
0.7503 0.5000 0.2488
0.5000 0.0000 0.0000
0.5000 0.5000 0.5000
0.0000 0.0000 0.5000
0.0000 0.5000 0.0000
```



A geometry-optimized Pm4GeAs2S structure. Source: the Alexandria database, functional PBE-GGA.

As for the uncorrected formation energy: -1.5016 eV per atom. The total energy comes out at -6.1324 eV/atom. The total magnetization is 0.00 μB/f.u. The space group is P2/m, No. 10.

POSCAR file:
```
Pm4GeAs2S
1.0
7.2811 0.0000 0.0000
0.0000 4.1902 0.0000
-2.4170 0.0000 6.8711
Pm Ge As S
4 1 2 1
Direct
0.2494 0.0000 0.2513
0.2495 0.5000 0.7515
0.7506 0.0000 0.7487
0.7505 0.5000 0.2485
0.0000 0.0000 0.5000
0.5000 0.0000 0.0000
0.5000 0.5000 0.5000
0.0000 0.5000 0.0000
```



A geometry-optimized Pm6GeAs2S3 structure. Source: the Alexandria database, functional PBE-GGA.

As for the uncorrected formation energy: -1.7014 eV per atom. The total energy comes out at -6.2682 eV/atom. The total magnetization is 0.00 μB/f.u. The space group is C2/m, No. 12.

POSCAR file:
```
Pm6GeAs2S3
1.0
9.0395 -2.0832 0.0000
9.0395 2.0832 0.0000
-1.8440 0.0000 8.0742
Pm Ge As S
6 1 2 3
Direct
0.0007 0.0007 0.2512
0.3342 0.3342 0.4188
0.3338 0.3338 0.9164
0.6662 0.6662 0.0836
0.6658 0.6658 0.5812
0.9993 0.9993 0.7488
0.5000 0.5000 0.5000
0.1672 0.1672 0.8340
0.8328 0.8328 0.1660
0.1674 0.1674 0.3324
0.5000 0.5000 0.0000
0.8326 0.8326 0.6676
```



A geometry-optimized Pm4GeAs2Se structure. Source: the Alexandria database, functional PBE-GGA.

As for the uncorrected formation energy: -1.4742 eV per atom. The total energy comes out at -6.0246 eV/atom. The total magnetization is 0.00 μB/f.u. The space group is P2/m, No. 10.

POSCAR file:
```
Pm4GeAs2Se
1.0
7.3470 0.0000 0.0000
0.0000 4.2227 0.0000
-2.4291 0.0000 6.9422
Pm Ge As Se
4 1 2 1
Direct
0.2450 0.0000 0.2428
0.2477 0.5000 0.7512
0.7523 0.5000 0.2488
0.7550 0.0000 0.7572
0.5000 0.0000 0.0000
0.0000 0.0000 0.5000
0.0000 0.5000 0.0000
0.5000 0.5000 0.5000
```